(1)
First-principles (PBE) data for crystalline La2SmDy3Te6 at its relaxed geometry, as listed in the Alexandria database.

a b c (Å): 4.4146 8.9586 9.9679
angles (deg): 103.96 102.79 90.00
Fractional positions:
La 0.1657 0.3312 0.3313
La 0.8343 0.6688 0.6687
Te 0.6631 0.5919 0.3263
Te 0.3326 0.9287 0.6652
Te 0.9950 0.2529 0.9900
Te 0.6674 0.0713 0.3348
Te 0.0050 0.7471 0.0100
Te 0.3369 0.4081 0.6737
Sm 0.5000 0.0000 0.0000
Dy 0.1685 0.8337 0.3371
Dy 0.5000 0.5000 0.0000
Dy 0.8315 0.1663 0.6629

Values from the calculation:
volume	372.5	Å³/cell
energy relative to the elements, uncorrected	-1.406	eV/atom

---

(2)
First-principles (PBE) data for crystalline La3Sm4DyTe8 at its relaxed geometry, as listed in the Alexandria database.

a b c (Å): 8.9964 8.9493 8.9876
angles (deg): 120.08 120.03 90.00
Fractional positions:
Te 0.7531 0.7593 0.5062
Te 0.2471 0.7532 0.4943
Te 0.2411 0.2468 0.9940
Te 0.2471 0.7532 0.0060
Te 0.7529 0.2468 0.5057
Te 0.7529 0.2468 0.9940
Te 0.2469 0.2407 0.4938
Te 0.7589 0.7532 0.0060
Sm 0.0000 0.0000 0.0000
Sm 0.5000 0.0000 0.5000
Sm 0.0000 0.0000 0.5000
Sm 0.5000 0.0000 0.0000
Dy 0.0000 0.5000 0.0000
La 0.5000 0.5000 0.0000
La 0.0000 0.5000 0.5000
La 0.5000 0.5000 0.5000

Values from the calculation:
volume	510.8	Å³/cell
energy relative to the elements, uncorrected	-1.444	eV/atom

---

(3)
First-principles (PBE) data for crystalline LaSm3Dy2Te6 at its relaxed geometry, as listed in the Alexandria database.

a b c (Å): 4.4161 8.9262 9.9138
angles (deg): 102.83 102.87 90.00
Fractional positions:
Te 0.0040 0.2582 0.0081
Te 0.9960 0.7418 0.9919
Te 0.6713 0.0901 0.3427
Te 0.6690 0.5785 0.3379
Te 0.3310 0.4215 0.6621
Te 0.3287 0.9099 0.6573
Dy 0.8340 0.6688 0.6680
Dy 0.1660 0.3312 0.3320
Sm 0.5000 0.5000 0.0000
Sm 0.1616 0.8310 0.3233
Sm 0.8384 0.1690 0.6767
La 0.5000 0.0000 0.0000

Values from the calculation:
volume	371.0	Å³/cell
energy relative to the elements, uncorrected	-1.382	eV/atom

---

(4)
First-principles (PBE) data for crystalline La3SmDy3Te8 at its relaxed geometry, as listed in the Alexandria database.

a b c (Å): 8.8606 8.8612 8.9425
angles (deg): 119.70 90.00 120.00
Fractional positions:
Te 0.7458 0.0110 0.2567
Te 0.7348 0.9891 0.7433
Te 0.7447 0.4893 0.7340
Te 0.7457 0.4915 0.2567
Te 0.2542 0.9890 0.7433
Te 0.2543 0.5085 0.7433
Te 0.2553 0.5107 0.2660
Te 0.2652 0.0109 0.2567
La 0.5000 0.5000 0.0000
La 0.0000 0.5000 0.0000
La 0.0000 0.0000 0.0000
Sm 0.0000 0.0000 0.5000
Dy 0.5000 0.0000 0.5000
Dy 0.0000 0.5000 0.5000
Dy 0.5000 0.5000 0.5000

Values from the calculation:
volume	498.7	Å³/cell
energy relative to the elements, uncorrected	-1.481	eV/atom

---

(5)
First-principles (PBE) data for crystalline La4Sm3DyTe8 at its relaxed geometry, as listed in the Alexandria database.

a b c (Å): 9.0097 8.9983 9.0081
angles (deg): 120.02 120.01 90.00
Fractional positions:
La 0.5000 0.0000 0.5000
La 0.5000 0.0000 0.0000
La 0.0000 0.0000 0.0000
La 0.0000 0.0000 0.5000
Sm 0.0000 0.5000 0.5000
Sm 0.5000 0.5000 0.5000
Sm 0.5000 0.5000 0.0000
Te 0.2441 0.7381 0.9939
Te 0.2502 0.2619 0.0061
Te 0.7559 0.2619 0.0061
Te 0.7469 0.7408 0.4939
Te 0.7498 0.7381 0.9939
Te 0.7559 0.2620 0.5117
Te 0.2531 0.2592 0.5061
Te 0.2441 0.7380 0.4883
Dy 0.0000 0.5000 0.0000

Values from the calculation:
volume	516.2	Å³/cell
energy relative to the elements, uncorrected	-1.477	eV/atom

---

(6)
First-principles (PBE) data for crystalline La6Sm2DyTh at its relaxed geometry, as listed in the Alexandria database.

a b c (Å): 9.2682 6.9706 6.7589
angles (deg): 121.04 105.88 90.00
Fractional positions:
La 0.8054 0.4321 0.3913
La 0.4145 0.6259 0.2518
La 0.1946 0.0408 0.6087
La 0.8054 0.9592 0.3913
La 0.5855 0.3741 0.7482
La 0.1946 0.5679 0.6087
Sm 0.8253 0.9282 0.8564
Sm 0.1747 0.0718 0.1436
Th 0.0000 0.5000 0.0000
Dy 0.5000 0.0000 0.0000

Values from the calculation:
volume	354.5	Å³/cell
calculated formation energy	18.7	kJ per mole of atoms

---

(7)
First-principles (PBE) data for crystalline LaSm5Dy2Th at its relaxed geometry, as listed in the Alexandria database.

a b c (Å): 5.7069 10.4962 10.5942
angles (deg): 90.00 90.00 105.77
Fractional positions:
Th 0.7999 0.5999 0.5138
Th 0.2001 0.4001 0.0138
Sm 0.4781 0.9562 0.7385
Sm 0.5219 0.0438 0.2385
Sm 0.3863 0.7726 0.0265
Sm 0.2774 0.5548 0.3164
Sm 0.6137 0.2274 0.5265
Sm 0.0160 0.0321 0.0247
Sm 0.9840 0.9679 0.5247
Sm 0.2935 0.5870 0.7051
Sm 0.7226 0.4452 0.8164
Sm 0.7065 0.4130 0.2051
La 0.4143 0.8286 0.4460
La 0.5857 0.1714 0.9460
Dy 0.1131 0.2262 0.7339
Dy 0.1149 0.2297 0.3190
Dy 0.8869 0.7738 0.2339
Dy 0.8851 0.7703 0.8190

Values from the calculation:
volume	610.7	Å³/cell
calculated formation energy	15.6	kJ per mole of atoms

---

(8)
First-principles (PBE) data for crystalline LaSmDy5Th2 at its relaxed geometry, as listed in the Alexandria database.

a b c (Å): 8.9253 8.9253 9.9118
angles (deg): 116.76 116.76 90.00
Fractional positions:
Dy 0.4297 0.3414 0.2711
Dy 0.1586 0.0703 0.7289
Dy 0.0703 0.5703 0.7289
Dy 0.6586 0.1586 0.7289
Dy 0.0000 0.0000 0.0000
Dy 0.3414 0.8414 0.2711
Dy 0.5000 0.5000 0.0000
Dy 0.8414 0.9297 0.2711
Dy 0.9297 0.4297 0.2711
Dy 0.5703 0.6586 0.7289
Sm 0.2500 0.7500 0.5000
Sm 0.7500 0.2500 0.5000
Th 0.3813 0.8813 0.0000
Th 0.8813 0.6187 0.0000
Th 0.6187 0.1187 0.0000
Th 0.1187 0.3813 0.0000
La 0.7500 0.7500 0.5000
La 0.2500 0.2500 0.5000

Values from the calculation:
volume	608.8	Å³/cell
calculated formation energy	30.5	kJ per mole of atoms

---

(9)
First-principles (PBE) data for crystalline LaSm2Dy5Th at its relaxed geometry, as listed in the Alexandria database.

a b c (Å): 5.6543 10.3794 10.5853
angles (deg): 90.00 90.00 105.81
Fractional positions:
Dy 0.0166 0.0331 0.0263
Dy 0.7038 0.4076 0.2089
Dy 0.4795 0.9590 0.7359
Dy 0.6135 0.2270 0.5239
Dy 0.3865 0.7730 0.0239
Dy 0.2773 0.5545 0.3166
Dy 0.7227 0.4455 0.8166
Dy 0.5205 0.0410 0.2359
Dy 0.9834 0.9669 0.5263
Dy 0.2962 0.5924 0.7089
Sm 0.1133 0.2266 0.3190
Sm 0.8856 0.7711 0.2310
Sm 0.8867 0.7734 0.8190
Sm 0.1144 0.2289 0.7310
La 0.5846 0.1692 0.9489
La 0.4154 0.8308 0.4489
Th 0.2026 0.4053 0.0134
Th 0.7974 0.5947 0.5134

Values from the calculation:
volume	597.7	Å³/cell
calculated formation energy	16.0	kJ per mole of atoms

---

(10)
First-principles (PBE) data for crystalline LaSm2Dy4Th at its relaxed geometry, as listed in the Alexandria database.

a b c (Å): 3.6123 6.2533 13.1570
angles (deg): 61.59 90.00 90.00
Fractional positions:
Dy 0.5000 0.5813 0.2556
Dy 0.0000 0.0772 0.2526
Dy 0.0000 0.9228 0.7474
Dy 0.5000 0.4187 0.7445
Th 0.0000 0.5000 0.5000
Sm 0.5000 0.0000 0.5000
Sm 0.0000 0.0000 0.0000
La 0.5000 0.5000 0.0000

Values from the calculation:
volume	261.4	Å³/cell
calculated formation energy	0.6	kJ per mole of atoms

---

(11)
First-principles (PBE) data for crystalline LaSm6Dy3Th2 at its relaxed geometry, as listed in the Alexandria database.

a b c (Å): 6.2533 6.2533 11.9586
angles (deg): 95.02 95.02 119.94
Fractional positions:
Dy 0.8333 0.1667 0.5000
Dy 0.5000 0.5000 0.5000
Dy 0.1667 0.8333 0.5000
Th 0.3333 0.6667 0.0000
Th 0.6667 0.3333 0.0000
La 0.0000 0.0000 0.0000
Sm 0.9161 0.5773 0.7507
Sm 0.4227 0.0839 0.2493
Sm 0.5773 0.9161 0.7507
Sm 0.2548 0.2548 0.7505
Sm 0.7452 0.7452 0.2495
Sm 0.0839 0.4227 0.2493

Values from the calculation:
volume	399.0	Å³/cell
calculated formation energy	3.6	kJ per mole of atoms

---

(12)
First-principles (PBE) data for crystalline La2Sm5DyTh at its relaxed geometry, as listed in the Alexandria database.

a b c (Å): 5.7296 10.6407 10.6662
angles (deg): 90.00 90.00 105.62
Fractional positions:
Sm 0.2960 0.5919 0.7045
Sm 0.7040 0.4081 0.2045
Sm 0.0163 0.0326 0.0212
Sm 0.3885 0.7769 0.0248
Sm 0.7238 0.4476 0.8134
Sm 0.9837 0.9674 0.5212
Sm 0.4805 0.9610 0.7419
Sm 0.5195 0.0390 0.2419
Sm 0.6115 0.2231 0.5248
Sm 0.2762 0.5524 0.3134
La 0.1158 0.2316 0.7312
La 0.8842 0.7684 0.2312
La 0.1167 0.2335 0.3186
La 0.8833 0.7665 0.8186
Dy 0.4073 0.8146 0.4574
Dy 0.5927 0.1854 0.9574
Th 0.1996 0.3992 0.0111
Th 0.8004 0.6008 0.5111

Values from the calculation:
volume	626.3	Å³/cell
calculated formation energy	14.1	kJ per mole of atoms

---

(13)
First-principles (PBE) data for crystalline LaSm4Dy2Th at its relaxed geometry, as listed in the Alexandria database.

a b c (Å): 3.6355 6.2664 13.2869
angles (deg): 61.91 90.00 90.00
Fractional positions:
Sm 0.5000 0.5816 0.2547
Sm 0.0000 0.0778 0.2533
Sm 0.0000 0.9222 0.7467
Sm 0.5000 0.4184 0.7453
Dy 0.5000 0.0000 0.5000
Dy 0.0000 0.0000 0.0000
Th 0.0000 0.5000 0.5000
La 0.5000 0.5000 0.0000

Values from the calculation:
volume	267.0	Å³/cell
calculated formation energy	1.3	kJ per mole of atoms

---

(14)
First-principles (PBE) data for crystalline LaSmDyTh at its relaxed geometry, as listed in the Alexandria database.

a b c (Å): 5.7557 5.7557 5.7557
angles (deg): 60.00 60.00 60.00
Fractional positions:
Sm 0.5000 0.5000 0.5000
Th 0.7500 0.7500 0.7500
La 0.2500 0.2500 0.2500
Dy 0.0000 0.0000 0.0000

Values from the calculation:
volume	134.8	Å³/cell
calculated formation energy	14.1	kJ per mole of atoms
relative energy among the computed polymorphs	11.77	kJ per mole of atoms

---

(15)
First-principles (PBE) data for crystalline LaSmDy3Th at its relaxed geometry, as listed in the Alexandria database.

a b c (Å): 5.0897 8.0398 10.7685
angles (deg): 115.98 90.00 90.00
Fractional positions:
La 0.7500 0.8778 0.7090
La 0.2500 0.1222 0.2910
Dy 0.7500 0.8647 0.0408
Dy 0.2500 0.1353 0.9592
Dy 0.2500 0.6173 0.7950
Dy 0.7500 0.3827 0.2050
Dy 0.7500 0.3768 0.5459
Dy 0.2500 0.6232 0.4541
Sm 0.2500 0.1307 0.6299
Sm 0.7500 0.8693 0.3701
Th 0.2500 0.6195 0.1207
Th 0.7500 0.3805 0.8793

Values from the calculation:
volume	396.1	Å³/cell
calculated formation energy	3.4	kJ per mole of atoms

---

(16)
First-principles (PBE) data for crystalline LaSmDyTh at its relaxed geometry, as listed in the Alexandria database.

a b c (Å): 3.6157 3.6157 10.2987
angles (deg): 90.00 90.00 90.00
Fractional positions:
La 0.0000 0.0000 0.0744
Th 0.0000 0.0000 0.5685
Dy 0.5000 0.5000 0.3350
Sm 0.5000 0.5000 0.8067

Values from the calculation:
volume	134.6	Å³/cell
calculated formation energy	2.3	kJ per mole of atoms
relative energy among the computed polymorphs	0.00	kJ per mole of atoms

---

(17)
First-principles (PBE) data for crystalline La5Sm2DyTh at its relaxed geometry, as listed in the Alexandria database.

a b c (Å): 9.2296 9.2296 9.8690
angles (deg): 117.88 117.88 90.00
Fractional positions:
La 0.5000 0.5000 0.0000
La 0.8596 0.9357 0.2953
La 0.1404 0.0643 0.7047
La 0.3596 0.8596 0.2953
La 0.0643 0.5643 0.7047
La 0.9357 0.4357 0.2953
La 0.4357 0.3596 0.2953
La 0.5643 0.6404 0.7047
La 0.0000 0.0000 0.0000
La 0.6404 0.1404 0.7047
Th 0.2500 0.2500 0.5000
Th 0.7500 0.7500 0.5000
Dy 0.2500 0.7500 0.5000
Dy 0.7500 0.2500 0.5000
Sm 0.3875 0.8875 0.0000
Sm 0.8875 0.6125 0.0000
Sm 0.6125 0.1125 0.0000
Sm 0.1125 0.3875 0.0000

Values from the calculation:
volume	630.6	Å³/cell
calculated formation energy	28.1	kJ per mole of atoms

---

(18)
First-principles (PBE) data for crystalline LaSm3Dy6Th2 at its relaxed geometry, as listed in the Alexandria database.

a b c (Å): 6.2355 6.2355 11.7616
angles (deg): 95.08 95.08 119.99
Fractional positions:
Sm 0.1665 0.8335 0.5000
Sm 0.5000 0.5000 0.5000
Sm 0.8335 0.1665 0.5000
Dy 0.0828 0.4215 0.2469
Dy 0.4215 0.0828 0.2469
Dy 0.5785 0.9172 0.7531
Dy 0.9172 0.5785 0.7531
Dy 0.7439 0.7439 0.2470
Dy 0.2561 0.2561 0.7530
Th 0.6666 0.3334 0.0000
Th 0.3334 0.6666 0.0000
La 0.0000 0.0000 0.0000

Values from the calculation:
volume	389.8	Å³/cell
calculated formation energy	2.3	kJ per mole of atoms

---

(19)
First-principles (PBE) data for crystalline La6SmDy2Th at its relaxed geometry, as listed in the Alexandria database.

a b c (Å): 10.2604 8.8713 8.8713
angles (deg): 116.24 96.50 96.50
Fractional positions:
Sm 0.7500 0.0167 0.9833
Sm 0.2500 0.9833 0.0167
La 0.3093 0.9943 0.4295
La 0.0557 0.1073 0.7439
La 0.8093 0.4295 0.9943
La 0.6907 0.0057 0.5705
La 0.6187 0.4979 0.6935
La 0.1187 0.6935 0.4979
La 0.4443 0.2561 0.8927
La 0.9443 0.8927 0.2561
La 0.3813 0.5021 0.3065
La 0.1907 0.5705 0.0057
La 0.5557 0.7439 0.1073
La 0.8813 0.3065 0.5021
Dy 0.9504 0.7254 0.8111
Dy 0.4504 0.8111 0.7254
Dy 0.0496 0.2746 0.1889
Dy 0.5496 0.1889 0.2746
Th 0.7500 0.5964 0.4036
Th 0.2500 0.4036 0.5964

Values from the calculation:
volume	707.4	Å³/cell
calculated formation energy	12.2	kJ per mole of atoms

---

Uncorrected energy list, top to bottom, in eV per atom: -5.34, -5.41, -5.31, -5.38, -5.45, -4.91, -4.85, -4.96, -4.81, -5.02, -5.12, -4.91, -5.04, -5.27, -5.11, -5.39, -4.83, -5.10, -4.96
Magnetization list, top to bottom, in μB/f.u.: 0.00, 0.00, 0.00, 0.00, 0.00, 0.00, 0.00, 0.00, 0.00, 0.00, 0.00, 0.00, 0.00, 0.00, 0.00, 0.00, 0.00, 0.00, 0.00
N(E_F) list, top to bottom, in states/eV/atom: 0.562, 0.798, 0.579, 0.525, 0.781, 1.801, 1.487, 1.426, 1.584, 1.338, 1.543, 1.400, 1.316, 1.936, 1.524, 1.256, 1.570, 1.331, 1.573